1.
## SiBiSb2I (PBE)

Data for a geometry-optimized SiBiSb2I structure.

Unit cell a=5.877 b=5.877 c=5.943 alpha=90.00 beta=90.00 gamma=90.00
Space group P4/mmm (No. 123)
One atom of each set of equivalent atoms:
Si: 0.000 0.000 0.000 x1
Bi: 0.500 0.500 0.500 x1
Sb: 0.000 0.500 0.500 x2
I: 0.500 0.500 0.000 x1

Output
Its energy relative to the elements, uncorrected is 5.8 eV per formula unit. The density of states at the Fermi level is 7.75 states/eV per cell. The uncorrected energy is -2.664 eV per atom.

---

2.
## SiBiSb2I (PBE)

Data for a geometry-optimized SiBiSb2I structure.

Unit cell a=5.385 b=5.385 c=5.283 alpha=90.00 beta=90.00 gamma=90.00
Space group P4/mmm (No. 123)
One atom of each set of equivalent atoms:
Si: 0.000 0.000 0.000 x1
Bi: 0.500 0.500 0.500 x1
Sb: 0.000 0.500 0.000 x2
I: 0.000 0.000 0.500 x1

Output
Its energy relative to the elements, uncorrected is 2.6 eV per formula unit. The density of states at the Fermi level is 4.57 states/eV per cell. The uncorrected energy is -3.294 eV per atom.

---

3.
## SnBiSb2I (PBE)

Data for a geometry-optimized SnBiSb2I structure.

Unit cell a=5.871 b=5.871 c=5.990 alpha=90.00 beta=90.00 gamma=90.00
Space group P4/mmm (No. 123)
One atom of each set of equivalent atoms:
Sn: 0.000 0.000 0.000 x1
Bi: 0.500 0.500 0.500 x1
Sb: 0.000 0.500 0.500 x2
I: 0.500 0.500 0.000 x1

Output
Its energy relative to the elements, uncorrected is 3.4 eV per formula unit. The density of states at the Fermi level is 6.69 states/eV per cell. The uncorrected energy is -2.846 eV per atom.

---

4.
## SnBiSb2I (PBE)

Data for a geometry-optimized SnBiSb2I structure.

Unit cell a=5.754 b=5.754 c=5.674 alpha=90.00 beta=90.00 gamma=90.00
Space group P4/mmm (No. 123)
One atom of each set of equivalent atoms:
Sn: 0.000 0.000 0.000 x1
Bi: 0.500 0.500 0.500 x1
Sb: 0.000 0.500 0.000 x2
I: 0.000 0.000 0.500 x1

Output
Its energy relative to the elements, uncorrected is 3.0 eV per formula unit. The density of states at the Fermi level is 5.04 states/eV per cell. The uncorrected energy is -2.927 eV per atom.

---

5.
## SrBiSb2I (PBE)

Data for a geometry-optimized SrBiSb2I structure.

Unit cell a=5.827 b=5.827 c=6.188 alpha=90.00 beta=90.00 gamma=90.00
Space group P4/mmm (No. 123)
One atom of each set of equivalent atoms:
Sr: 0.000 0.000 0.000 x1
Bi: 0.500 0.500 0.500 x1
Sb: 0.000 0.500 0.500 x2
I: 0.500 0.500 0.000 x1

Output
Its energy relative to the elements, uncorrected is 0.0 eV per formula unit. The density of states at the Fermi level is 2.83 states/eV per cell. The uncorrected energy is -3.071 eV per atom.

---

6.
## Sr6BiSb2I3 (PBE)

Data for a geometry-optimized Sr6BiSb2I3 structure.

Unit cell a=8.474 b=14.681 c=8.420 alpha=90.00 beta=109.58 gamma=90.00
Space group C2/m (No. 12)
One atom of each set of equivalent atoms:
Sr: 0.233 0.000 0.212 x4
Sr: 0.239 0.331 0.211 x8
Bi: 0.000 0.500 0.000 x2
Sb: 0.000 0.167 0.000 x4
I: 0.000 0.000 0.500 x2
I: 0.000 0.333 0.500 x4

Output
Its energy relative to the elements, uncorrected is -15.6 eV per formula unit. The uncorrected energy is -3.535 eV per atom.

---

7.
## Sr8BiSb3I4 (PBE)

Data for a geometry-optimized Sr8BiSb3I4 structure.

Unit cell a=9.7762 b=9.7762 c=23.7896 alpha=90.00 beta=90.00 gamma=120.00
Space group R-3m (No. 166, hexagonal axes)
One atom of each set of equivalent atoms:
Sr: 0.0000 0.0000 0.2366 x6
Sr: 0.0030 0.5015 0.7629 x18
Bi: 0.0000 0.0000 0.5000 x3
Sb: 0.0000 0.5000 0.5000 x9
I: 0.0000 0.0000 0.0000 x3
I: 0.0000 0.5000 0.0000 x9

Output
Its energy relative to the elements, uncorrected is -20.9 eV per formula unit. The uncorrected energy is -3.550 eV per atom.

---

8.
## SrBiSb2I (PBE)

Data for a geometry-optimized SrBiSb2I structure.

Unit cell a=6.202 b=6.202 c=5.892 alpha=90.00 beta=90.00 gamma=90.00
Space group P4/mmm (No. 123)
One atom of each set of equivalent atoms:
Sr: 0.000 0.000 0.000 x1
Bi: 0.500 0.500 0.500 x1
Sb: 0.000 0.500 0.000 x2
I: 0.000 0.000 0.500 x1

Output
Its energy relative to the elements, uncorrected is 2.4 eV per formula unit. The density of states at the Fermi level is 7.99 states/eV per cell. The uncorrected energy is -2.585 eV per atom.

---

Question: Among the records above, which one has the highest uncorrected energy?
Answer: number 8

---

Question: uncorrected energy of number 6 (Sr6BiSb2I3)?
Answer: -3.535 eV per atom